Tm2Sc2Tl3: optimized geometry, GGA-PBE.

Excess energy over the best structure of this formula in the dataset in kJ per mole of atoms: 0.00
Mass density in g/cm³: 9.70
ΔE_f in eV/f.u.: -1.0
Magnetization in μB per formula unit: 1.1

Structure (extended XYZ):
```
7
Lattice="2.250 -11.854 0.000 2.250 11.854 0.000 0.000 0.000 3.339" Properties=species:S:1:pos:R:3 pbc="T T T"
Tm 2.250 10.132 0.000
Tm 2.250 -10.132 0.000
Sc 2.250 6.971 0.000
Sc 2.250 -6.971 0.000
Tl 2.250 3.653 1.669
Tl 2.250 0.000 1.669
Tl 2.250 -3.653 1.669
```

PmErAl2Ga2: optimized geometry, GGA-PBE.

Mass density in g/cm³: 6.58
ΔE_f in eV/f.u.: -3.4
Magnetization in μB per formula unit: 0.0

Structure (extended XYZ):
```
6
Lattice="4.406 0.000 0.000 -2.203 3.815 0.000 0.000 0.000 7.591" Properties=species:S:1:pos:R:3 pbc="T T T"
Pm 0.000 0.000 0.000
Er 0.000 0.000 3.796
Al 0.000 2.544 1.963
Al 2.203 1.272 5.628
Ga 0.000 2.544 5.601
Ga 2.203 1.272 1.990
```

Tb3Pm2Mg: optimized geometry, GGA-PBE.

Excess energy over the best structure of this formula in the dataset in kJ per mole of atoms: 35.72
Mass density in g/cm³: 6.66
ΔE_f in eV/f.u.: 2.3
Magnetization in μB per formula unit: 0.0

Structure (extended XYZ):
```
6
Lattice="-1.661 5.030 5.903 1.661 -5.030 5.903 1.661 5.030 -5.903" Properties=species:S:1:pos:R:3 pbc="T T T"
Tb 0.000 0.000 0.000
Tb 1.661 -1.656 5.681
Tb 1.661 1.656 5.681
Pm 1.661 3.306 2.730
Pm 0.000 1.724 8.632
Mg 1.661 0.000 2.873
```

Ti3AuC: optimized geometry, GGA-PBE.

Excess energy over the best structure of this formula in the dataset in kJ per mole of atoms: 0.00
Mass density in g/cm³: 7.98
ΔE_f in eV/f.u.: -3.1
Magnetization in μB per formula unit: 0.0

Structure (extended XYZ):
```
5
Lattice="4.186 0.000 0.000 0.000 4.186 0.000 0.000 0.000 4.186" Properties=species:S:1:pos:R:3 pbc="T T T"
Ti 0.000 0.000 2.093
Ti 0.000 2.093 0.000
Ti 2.093 0.000 0.000
Au 2.093 2.093 2.093
C 0.000 0.000 0.000
```

CaPrCuAg: optimized geometry, GGA-PBE.

Mass density in g/cm³: 5.93
ΔE_f in eV/f.u.: -0.8
Magnetization in μB per formula unit: 0.0

Structure (extended XYZ):
```
4
Lattice="0.000 3.667 3.667 3.667 0.000 3.667 3.667 3.667 0.000" Properties=species:S:1:pos:R:3 pbc="T T T"
Ca 0.000 0.000 0.000
Pr 3.667 3.667 3.667
Cu 5.501 5.501 5.501
Ag 1.834 1.834 1.834
```

LaYAu4: optimized geometry, GGA-PBE.

Excess energy over the best structure of this formula in the dataset in kJ per mole of atoms: 25.72
Mass density in g/cm³: 12.59
ΔE_f in eV/f.u.: -3.2
Magnetization in μB per formula unit: 0.0

Structure (extended XYZ):
```
6
Lattice="0.000 4.061 4.061 4.061 0.000 4.061 4.061 4.061 0.000" Properties=species:S:1:pos:R:3 pbc="T T T"
La 0.000 0.000 0.000
Y 6.091 6.091 6.091
Au 3.050 3.050 3.050
Au 5.072 5.072 3.050
Au 5.072 3.050 5.072
Au 3.050 5.072 5.072
```

LiGa3Ni3: optimized geometry, GGA-PBE.

Excess energy over the best structure of this formula in the dataset in kJ per mole of atoms: 0.00
Mass density in g/cm³: 7.21
ΔE_f in eV/f.u.: -1.9
Magnetization in μB per formula unit: 0.0

Structure (extended XYZ):
```
14
Lattice="3.461 1.998 4.355 -3.461 1.998 4.355 0.000 -3.996 4.355" Properties=species:S:1:pos:R:3 pbc="T T T"
Li 0.000 0.000 3.158
Li 0.000 0.000 9.906
Ga -1.044 -1.369 5.457
Ga -1.707 0.219 7.607
Ga -0.664 1.588 5.457
Ga 0.664 -1.588 7.607
Ga 1.707 -0.219 5.457
Ga 1.044 1.369 7.607
Ni -2.841 0.556 5.403
Ni -1.902 -2.182 7.661
Ni 0.939 -2.738 5.403
Ni -0.939 2.738 7.661
Ni 1.902 2.182 5.403
Ni 2.841 -0.556 7.661
```

BaTlSb2: optimized geometry, GGA-PBE.

Raw formation energy in eV per atom: -0.272
Excess energy over the best structure of this formula in the dataset in kJ per mole of atoms: 20.83
Mass density in g/cm³: 7.03
Magnetization in μB per formula unit: 0.0

Structure (extended XYZ):
```
4
Lattice="0.000 4.104 4.104 4.104 0.000 4.104 4.104 4.104 0.000" Properties=species:S:1:pos:R:3 pbc="T T T"
Ba 0.000 0.000 0.000
Tl 4.104 4.104 4.104
Sb 2.052 2.052 2.052
Sb 6.156 6.156 6.156
```